The following is a PBE+U calculation of a geometry-optimized Ba3ErFe2O6 structure, from Alexandria via LeMat-Bulk.

The structure in POSCAR format:
```
Ba3ErFe2O6
1.0
6.189 0.000 0.000
-3.094 5.359 0.000
0.000 0.000 7.104
Ba Er Fe O
3 1 2 6
direct
0.000 0.000 0.000 Ba
0.333 0.667 0.649 Ba
0.667 0.333 0.351 Ba
0.000 0.000 0.500 Er
0.333 0.667 0.213 Fe
0.667 0.333 0.787 Fe
0.165 0.331 0.308 O
0.165 0.835 0.308 O
0.331 0.165 0.692 O
0.669 0.835 0.308 O
0.835 0.165 0.692 O
0.835 0.669 0.692 O
```

## Properties
SG: P-3m1
ρ, g/cm3: 5.546
E_tot, eV/atom: -6.52
Fermi-level density of states, states/eV/f.u.: 1.6


The following is a PBE+U calculation of a geometry-optimized Ba3ErFe2O8 structure, from Alexandria via LeMat-Bulk.

The structure in POSCAR format:
```
Ba3ErFe2O8
1.0
6.011 0.000 0.000
-3.005 5.205 0.000
0.000 0.000 7.614
Ba Er Fe O
3 1 2 8
direct
0.000 0.000 0.000 Ba
0.333 0.667 0.656 Ba
0.667 0.333 0.344 Ba
0.000 0.000 0.500 Er
0.333 0.667 0.216 Fe
0.667 0.333 0.784 Fe
0.169 0.337 0.321 O
0.169 0.831 0.321 O
0.333 0.667 0.980 O
0.337 0.169 0.679 O
0.663 0.831 0.321 O
0.667 0.333 0.020 O
0.831 0.169 0.679 O
0.831 0.663 0.679 O
```

## Properties
SG: P-3m1
ρ, g/cm3: 5.708
E_tot, eV/atom: -6.69
Fermi-level density of states, states/eV/f.u.: 9.1